1.
PBE-GGA SrMoPt, optimized geometry; size of the total moment = 0.00 μB/f.u.; polymorph energy (0 for the lowest one) = 0.0913 eV per atom; DFT formation energy = -4.0 kJ/mol of atoms
1.0
5.940 -0.011 -0.011
-1.640 4.111 0.006
1.082 -1.957 5.503
Sr Mo Pt
2 2 2
direct
0.185 0.798 0.585 Sr
0.540 0.653 0.941 Sr
0.932 0.390 0.023 Mo
0.103 0.061 0.194 Mo
0.562 0.361 0.335 Pt
0.790 0.090 0.564 Pt


2.
PBE-GGA TbHf3N, optimized geometry; energy = -9.10 eV per atom; size of the total moment = 0.00 μB/f.u.
1.0
4.596 0.000 0.000
0.000 4.596 0.000
0.000 0.000 4.596
Hf Tb N
3 1 1
direct
0.500 0.000 0.000 Hf
0.000 0.000 0.500 Hf
0.000 0.500 0.000 Hf
0.500 0.500 0.500 Tb
0.000 0.000 0.000 N


3.
PBE-GGA CaInFe2, optimized geometry; size of the total moment = 4.81 μB/f.u.; DFT formation energy = 64.0 kJ/mol of atoms
1.0
-4.083 -8.427 1.490
-3.006 -7.886 4.322
-5.721 -6.723 3.460
Ca In Fe
1 1 2
direct
0.750 0.750 0.750 Ca
0.250 0.250 0.250 In
0.504 0.504 0.504 Fe
0.996 0.996 0.996 Fe


4.
PBE-GGA MgGa2N2O, optimized geometry; energy = -5.98 eV per atom; size of the total moment = 0.00 μB/f.u.
1.0
5.261 0.000 0.000
0.000 5.655 0.000
0.000 -2.828 4.875
Ga Mg N O
4 2 4 2
direct
0.308 0.167 0.652 Ga
0.308 0.515 0.348 Ga
0.808 0.485 0.652 Ga
0.808 0.833 0.348 Ga
0.308 0.831 0.000 Mg
0.808 0.169 0.000 Mg
0.176 0.487 0.654 N
0.676 0.167 0.654 N
0.176 0.833 0.346 N
0.676 0.513 0.346 N
0.699 0.822 0.000 O
0.199 0.178 0.000 O


5.
PBE-GGA TcRu2Rh, optimized geometry; size of the total moment = 0.00 μB/f.u.; polymorph energy (0 for the lowest one) = 0.1232 eV per atom; DFT formation energy = 4.6 kJ/mol of atoms
1.0
-0.217 -4.633 -0.740
4.468 1.233 0.760
-0.340 -0.409 2.662
Ru Tc Rh
2 1 1
direct
0.000 0.000 0.000 Ru
0.500 0.500 0.000 Ru
0.500 0.000 0.500 Tc
0.000 0.500 0.500 Rh


6.
PBE-GGA Li2PbBr4, optimized geometry; size of the total moment = 0.00 μB/f.u.; polymorph energy (0 for the lowest one) = 0.0354 eV per atom
1.0
-2.038 4.282 3.684
3.540 -2.084 4.381
4.857 4.036 -2.005
Br Pb Li
4 1 2
direct
0.266 0.734 0.718 Br
0.266 0.266 0.282 Br
0.734 0.734 0.282 Br
0.734 0.266 0.718 Br
0.000 0.000 0.000 Pb
0.000 0.500 0.500 Li
0.500 0.000 0.500 Li


7.
PBE-GGA SrTmBi2, optimized geometry; size of the total moment = 0.00 μB/f.u.; polymorph energy (0 for the lowest one) = 0.0000 eV per atom; DFT formation energy = -70.6 kJ/mol of atoms
1.0
4.531 0.000 -0.003
-2.264 3.924 0.003
-2.258 -1.313 7.918
Tm Bi Sr
1 2 1
direct
0.000 0.000 0.000 Tm
0.481 0.741 0.222 Bi
0.519 0.259 0.778 Bi
0.000 0.500 0.500 Sr


8.
PBE-GGA Rb3Ca2SnBr9, optimized geometry; energy = -3.39 eV per atom; size of the total moment = 0.00 μB/f.u.
1.0
-4.876 1.145 -6.475
3.112 -7.418 1.519
-8.003 -2.203 5.637
Br Rb Sn Ca
9 3 1 2
direct
0.500 0.500 0.000 Br
0.169 0.831 0.330 Br
0.661 0.831 0.330 Br
0.339 0.169 0.670 Br
0.169 0.339 0.330 Br
0.831 0.169 0.670 Br
0.000 0.500 0.000 Br
0.500 0.000 0.000 Br
0.831 0.661 0.670 Br
0.000 0.000 0.000 Rb
0.333 0.667 0.659 Rb
0.667 0.333 0.341 Rb
0.000 0.000 0.500 Sn
0.333 0.667 0.161 Ca
0.667 0.333 0.839 Ca


9.
PBE-GGA SrBeTc2, optimized geometry; size of the total moment = 0.00 μB/f.u.; DFT formation energy = 40.5 kJ/mol of atoms
1.0
-0.561 0.839 -3.862
-3.168 -0.215 0.414
-1.772 5.788 1.515
Sr Tc Be
1 2 1
direct
0.500 0.711 0.710 Sr
0.000 0.994 0.143 Tc
0.500 0.442 0.220 Tc
0.000 0.352 0.427 Be


10.
PBE-GGA ScAlRu, optimized geometry; size of the total moment = 0.00 μB/f.u.; DFT formation energy = 35.7 kJ/mol of atoms
1.0
4.390 0.000 0.000
2.195 3.802 0.000
2.195 1.267 3.584
Sc Ru Al
1 1 1
direct
0.750 0.750 0.750 Sc
0.500 0.500 0.500 Ru
0.000 0.000 0.000 Al


11.
PBE-GGA CsSc2MnBr8, optimized geometry; energy = -4.37 eV per atom; size of the total moment = 3.96 μB/f.u.
1.0
-4.963 3.325 -3.649
-6.610 0.031 2.304
-1.998 9.621 4.771
Sc Mn Br Cs
2 1 8 1
direct
0.263 0.263 0.212 Sc
0.737 0.737 0.788 Sc
0.000 0.000 0.000 Mn
0.727 0.072 0.844 Br
0.273 0.928 0.156 Br
0.180 0.180 0.460 Br
0.642 0.273 0.156 Br
0.820 0.820 0.540 Br
0.928 0.642 0.156 Br
0.072 0.358 0.844 Br
0.358 0.727 0.844 Br
0.500 0.500 0.500 Cs


12.
PBE-GGA Li3Pb6Cl14, optimized geometry; energy = -3.58 eV per atom; size of the total moment = 0.00 μB/f.u.
1.0
6.395 0.000 0.000
0.000 9.051 -5.225
0.000 0.000 10.451
Pb Li Cl
6 3 14
direct
0.776 0.035 0.468 Pb
0.262 0.792 0.086 Pb
0.776 0.532 0.567 Pb
0.262 0.294 0.208 Pb
0.262 0.914 0.706 Pb
0.776 0.433 0.965 Pb
0.341 0.333 0.667 Li
0.826 0.000 0.000 Li
0.455 0.667 0.333 Li
0.500 0.567 0.816 Cl
0.682 0.810 0.568 Cl
0.500 0.184 0.751 Cl
0.988 0.157 0.925 Cl
0.500 0.249 0.433 Cl
0.221 0.581 0.485 Cl
0.221 0.515 0.096 Cl
0.682 0.758 0.190 Cl
0.988 0.768 0.843 Cl
0.460 0.000 0.000 Cl
0.974 0.333 0.667 Cl
0.221 0.904 0.419 Cl
0.682 0.432 0.242 Cl
0.988 0.075 0.232 Cl


13.
PBE-GGA Tm5BTe2, optimized geometry; size of the total moment = 0.00 μB/f.u.; polymorph energy (0 for the lowest one) = 0.0000 eV per atom
1.0
-4.097 6.386 -1.546
-6.976 -4.684 -0.863
-2.313 1.315 11.564
Tm Te B
20 8 4
direct
0.949 0.750 0.497 Tm
0.859 0.750 0.194 Tm
0.823 0.046 0.942 Tm
0.449 0.250 0.003 Tm
0.397 0.750 0.306 Tm
0.897 0.250 0.194 Tm
0.677 0.046 0.442 Tm
0.323 0.954 0.558 Tm
0.177 0.954 0.058 Tm
0.103 0.750 0.806 Tm
0.323 0.546 0.558 Tm
0.603 0.250 0.694 Tm
0.551 0.750 0.997 Tm
0.141 0.250 0.806 Tm
0.823 0.454 0.942 Tm
0.359 0.250 0.306 Tm
0.177 0.546 0.058 Tm
0.051 0.250 0.503 Tm
0.677 0.454 0.442 Tm
0.641 0.750 0.694 Tm
0.415 0.515 0.824 Te
0.415 0.985 0.824 Te
0.585 0.015 0.176 Te
0.585 0.485 0.176 Te
0.085 0.515 0.324 Te
0.085 0.985 0.324 Te
0.915 0.485 0.676 Te
0.915 0.015 0.676 Te
0.570 0.750 0.490 B
0.430 0.250 0.510 B
0.930 0.750 0.990 B
0.070 0.250 0.010 B


14.
PBE-GGA K2Tl2Au3, optimized geometry; size of the total moment = 0.00 μB/f.u.; polymorph energy (0 for the lowest one) = 0.0176 eV per atom; DFT formation energy = -18.2 kJ/mol of atoms
1.0
-2.702 -2.697 2.426
4.471 -4.846 -0.408
4.788 3.656 5.180
K Tl Au
2 2 3
direct
0.645 0.131 0.290 K
0.355 0.869 0.710 K
0.094 0.620 0.187 Tl
0.906 0.380 0.813 Tl
0.000 0.000 0.000 Au
0.285 0.390 0.569 Au
0.715 0.610 0.431 Au


15.
PBE-GGA PrNdH2, optimized geometry; size of the total moment = 0.00 μB/f.u.; polymorph energy (0 for the lowest one) = 0.0000 eV per atom
1.0
-2.088 2.028 2.200
-1.860 -1.577 2.714
3.321 0.965 5.289
Nd H Pr
1 2 1
direct
0.000 0.000 0.000 Nd
0.749 0.749 0.754 H
0.251 0.251 0.246 H
0.500 0.500 0.500 Pr


16.
PBE-GGA SrTmTl4, optimized geometry; size of the total moment = 0.00 μB/f.u.; polymorph energy (0 for the lowest one) = 0.0000 eV per atom; DFT formation energy = -21.9 kJ/mol of atoms
1.0
-1.731 0.636 -4.630
-0.421 -4.118 -3.102
-6.315 -5.739 4.223
Tm Sr Tl
1 1 4
direct
0.001 0.997 0.498 Tm
0.501 0.497 0.998 Sr
0.182 0.483 0.344 Tl
0.617 0.047 0.782 Tl
0.385 0.947 0.215 Tl
0.820 0.512 0.652 Tl


17.
PBE-GGA Cd3Cl5F, optimized geometry; size of the total moment = 0.00 μB/f.u.; polymorph energy (0 for the lowest one) = 0.0000 eV per atom
1.0
3.875 0.000 0.000
0.000 6.128 -0.311
0.000 -0.198 18.315
Cl Cd F
10 6 2
direct
0.000 0.646 0.905 Cl
0.500 0.190 0.262 Cl
0.500 0.152 0.921 Cl
0.000 0.257 0.444 Cl
0.500 0.743 0.376 Cl
0.500 0.810 0.738 Cl
0.500 0.848 0.079 Cl
0.500 0.257 0.624 Cl
0.000 0.743 0.556 Cl
0.000 0.354 0.095 Cl
0.000 0.969 0.322 Cd
0.500 0.468 0.822 Cd
0.500 0.500 0.500 Cd
0.000 0.000 0.000 Cd
0.000 0.031 0.678 Cd
0.500 0.532 0.178 Cd
0.000 0.309 0.773 F
0.000 0.691 0.227 F


18.
PBE-GGA KGa3Pb3, optimized geometry; size of the total moment = 0.00 μB/f.u.; DFT formation energy = 8.6 kJ/mol of atoms
1.0
-7.117 -0.881 3.388
2.952 -5.635 4.737
1.881 5.512 5.384
K Ga Pb
2 6 6
direct
0.000 0.000 0.000 K
0.500 0.500 0.500 K
0.250 0.500 0.000 Ga
0.500 0.000 0.750 Ga
0.000 0.750 0.500 Ga
0.500 0.000 0.250 Ga
0.000 0.250 0.500 Ga
0.750 0.500 0.000 Ga
0.000 0.500 0.250 Pb
0.250 0.000 0.500 Pb
0.500 0.750 0.000 Pb
0.500 0.250 0.000 Pb
0.750 0.000 0.500 Pb
0.000 0.500 0.750 Pb


19.
PBE-GGA CaTa4As, optimized geometry; size of the total moment = 0.00 μB/f.u.; DFT formation energy = 57.1 kJ/mol of atoms
1.0
1.031 -5.298 1.676
-2.492 -4.334 -2.637
3.055 -3.454 -3.269
Ca As Ta
1 1 4
direct
0.000 0.000 0.000 Ca
0.750 0.750 0.750 As
0.372 0.372 0.372 Ta
0.885 0.372 0.372 Ta
0.372 0.372 0.885 Ta
0.372 0.885 0.372 Ta


20.
PBE-GGA TeMo2W, optimized geometry; energy = -8.88 eV per atom; size of the total moment = 0.00 μB/f.u.
1.0
-8.377 -2.267 0.221
-7.472 -3.176 3.073
-8.291 -0.200 2.566
Te Mo W
1 2 1
direct
0.502 0.502 0.502 Te
0.254 0.254 0.254 Mo
0.001 0.001 0.001 Mo
0.743 0.743 0.743 W


21.
PBE-GGA PaTiMo2, optimized geometry; size of the total moment = 0.00 μB/f.u.; polymorph energy (0 for the lowest one) = 0.0000 eV per atom; DFT formation energy = -9.9 kJ/mol of atoms
1.0
-3.106 2.177 2.705
-3.251 -2.458 2.257
0.221 -0.454 4.631
Pa Mo Ti
1 2 1
direct
0.000 0.000 0.000 Pa
0.750 0.750 0.750 Mo
0.250 0.250 0.250 Mo
0.500 0.500 0.500 Ti


22.
PBE-GGA PmSm4Mg, optimized geometry; size of the total moment = 0.00 μB/f.u.; DFT formation energy = 4.1 kJ/mol of atoms
1.0
5.973 0.000 0.000
0.000 5.750 -0.113
-2.987 -2.649 11.419
Sm Mg Pm
8 2 2
direct
0.772 0.830 0.160 Sm
0.936 0.422 0.343 Sm
0.064 0.578 0.657 Sm
0.389 0.330 0.160 Sm
0.228 0.170 0.840 Sm
0.593 0.078 0.657 Sm
0.407 0.922 0.343 Sm
0.611 0.670 0.840 Sm
0.000 0.000 0.500 Mg
0.500 0.500 0.500 Mg
0.823 0.250 0.000 Pm
0.177 0.750 0.000 Pm


23.
PBE-GGA Nd7Sm2, optimized geometry; size of the total moment = 0.00 μB/f.u.; polymorph energy (0 for the lowest one) = 0.0000 eV per atom; DFT formation energy = 1.2 kJ/mol of atoms
1.0
6.364 0.000 0.000
-3.182 5.511 0.000
0.000 0.000 8.964
Nd Sm
7 2
direct
0.000 0.667 0.332 Nd
0.333 0.000 0.668 Nd
0.667 0.000 0.332 Nd
0.000 0.000 0.000 Nd
0.667 0.667 0.668 Nd
0.000 0.333 0.668 Nd
0.333 0.333 0.332 Nd
0.333 0.667 0.000 Sm
0.667 0.333 0.000 Sm